A plane-wave DFT calculation with PBE was carried out for crystalline CeMg15In4 at its relaxed geometry.

extended XYZ file:
```
20
Lattice="4.7199 0.0000 0.0000 0.0000 4.7199 0.0000 0.0000 0.0000 21.2079" Properties=species:S:1:pos:R:3 pbc="T T T"
Mg 0.0000 2.3599 14.7956
Mg 2.3599 0.0000 6.4123
Mg 0.0000 2.3599 10.6040
Mg 2.3599 2.3599 16.8039
Mg 2.3599 0.0000 2.2903
Mg 2.3599 2.3599 4.4040
In 0.0000 0.0000 4.2829
Mg 2.3599 2.3599 0.0000
Mg 0.0000 2.3599 2.2903
In 0.0000 0.0000 12.6779
In 0.0000 0.0000 8.5301
Mg 2.3599 2.3599 12.7240
In 0.0000 0.0000 16.9250
Mg 0.0000 2.3599 18.9176
Mg 2.3599 2.3599 8.4840
Mg 0.0000 2.3599 6.4123
Mg 2.3599 0.0000 10.6040
Mg 2.3599 0.0000 14.7956
Mg 2.3599 0.0000 18.9176
Ce 0.0000 0.0000 0.0000
```

Properties
The total energy is -41.66 eV/f.u. The value obtained for the magnetic moment is 1.034 μB per cell.

A plane-wave DFT calculation with PBE was carried out for crystalline Ce3MgIn12 at its relaxed geometry.

extended XYZ file:
```
16
Lattice="4.7012 0.0000 0.0000 0.0000 4.7012 0.0000 0.0000 0.0000 18.6688" Properties=species:S:1:pos:R:3 pbc="T T T"
Mg 0.0000 0.0000 0.0000
In 0.0000 2.3506 16.4612
In 0.0000 2.3506 6.9688
In 2.3506 0.0000 2.2076
In 2.3506 2.3506 0.0000
In 2.3506 2.3506 4.6976
In 2.3506 2.3506 13.9712
Ce 0.0000 0.0000 9.3344
In 0.0000 2.3506 11.7000
In 2.3506 0.0000 11.7000
In 2.3506 2.3506 9.3344
Ce 0.0000 0.0000 4.5926
Ce 0.0000 0.0000 14.0762
In 2.3506 0.0000 16.4612
In 2.3506 0.0000 6.9688
In 0.0000 2.3506 2.2076
```

Properties
The total energy is -57.12 eV/f.u. The value obtained for the magnetic moment is 2.736 μB per cell.

A plane-wave DFT calculation with PBE was carried out for crystalline Ce6MgIn2 at its relaxed geometry.

extended XYZ file:
```
9
Lattice="-1.8368 -2.3662 -0.6286 3.7030 -0.6407 -8.4082 3.6640 -4.7082 7.0163" Properties=species:S:1:pos:R:3 pbc="T T T"
Ce 5.2220 -6.3198 1.0789
Ce 1.5218 -2.9549 -0.7754
In 1.8532 -4.3628 -3.8953
Mg 3.6640 -4.7082 7.0163
Ce 3.9983 -3.3833 -6.3984
Ce 4.0084 -4.7603 -1.2451
Ce 0.3082 -1.3953 -3.0994
In 3.6770 -3.3524 1.8748
Ce 1.5319 -4.3318 4.3780
```

Properties
The total energy is -43.86 eV/f.u. The value obtained for the magnetic moment is 3.122 μB per cell.

A plane-wave DFT calculation with PBE was carried out for crystalline Ce4MgIn12 at its relaxed geometry.

extended XYZ file:
```
17
Lattice="-8.3282 -0.2615 0.0781 2.7516 -1.4358 -7.7331 3.0101 -5.8224 5.1451" Properties=species:S:1:pos:R:3 pbc="T T T"
In -1.5701 -1.7962 1.5421
In -3.7480 -4.2877 3.6811
In 4.0607 -5.1153 -1.8239
In 1.5514 -5.1501 0.0118
Mg 0.0000 0.0000 0.0000
In -3.9301 -1.1962 -5.3949
In -1.3479 -2.6632 -4.4745
In -1.2186 -4.8565 1.9646
In 1.4867 -4.0535 -3.2078
Ce 1.5051 -2.9112 2.5725
In -4.0532 -3.4663 0.6978
In 1.7011 -2.1429 -0.7641
Ce 1.3758 -0.7179 -3.8665
Ce -1.2832 -3.7599 -1.2550
In -4.1178 -2.3697 -2.5217
Ce -4.1641 -0.1308 0.0390
In -1.6464 -0.5011 -2.2601
```

Properties
The total energy is -63.89 eV/f.u. The value obtained for the magnetic moment is 4.203 μB per cell.

A plane-wave DFT calculation with PBE was carried out for crystalline Ce3MgIn4 at its relaxed geometry.

extended XYZ file:
```
8
Lattice="-2.2530 -2.0148 -4.3562 2.2701 -4.0788 -2.5143 -4.7153 -7.8120 2.8252" Properties=species:S:1:pos:R:3 pbc="T T T"
Ce -3.6242 -10.5523 -2.9249
In -2.9640 -5.6676 0.9276
In -1.7341 -8.2380 -4.9729
Mg 0.0000 0.0000 0.0000
Ce -2.3491 -6.9528 -2.0226
Ce -1.0739 -3.3532 -1.1203
In -0.5829 -4.7902 -3.9363
In -4.1152 -9.1154 -0.1089
```

Properties
The total energy is -32.69 eV/f.u. The value obtained for the magnetic moment is 2.731 μB per cell.

A plane-wave DFT calculation with PBE was carried out for crystalline CeMg2In at its relaxed geometry.

extended XYZ file:
```
4
Lattice="5.1540 0.0000 0.0000 2.5770 4.4635 0.0000 2.5770 1.4878 4.2082" Properties=species:S:1:pos:R:3 pbc="T T T"
Mg 7.7310 4.4635 3.1562
In 5.1540 2.9757 2.1041
Mg 2.5770 1.4878 1.0521
Ce 0.0000 0.0000 0.0000
```

Properties
For the excess energy over the best structure of this formula in the dataset, the calculation gives 63 meV/atom. The total energy is -12.33 eV/f.u. The value obtained for the magnetic moment is 1.016 μB per cell.

A plane-wave DFT calculation with PBE was carried out for crystalline Ce2Mg5In4 at its relaxed geometry.

extended XYZ file:
```
11
Lattice="-2.8110 -3.5216 4.5474 3.0974 -1.4139 5.3258 -4.4182 5.3412 5.9114" Properties=species:S:1:pos:R:3 pbc="T T T"
In -3.7719 1.6882 7.9880
Mg -2.7687 -0.6776 9.0291
In -0.3599 -1.2825 7.7966
In -3.0937 0.0879 11.6741
Mg 1.5487 -0.7070 2.6629
In -1.0381 0.3178 4.1105
Mg -1.4055 -1.7608 2.2737
Mg -1.3632 1.0832 6.7554
Ce -3.6844 -1.4627 5.6020
Ce -3.5448 3.2823 4.8568
Mg 0.1432 -2.4678 4.9366
```

Properties
The total energy is -31.24 eV/f.u. The value obtained for the magnetic moment is 2.513 μB per cell.

A plane-wave DFT calculation with PBE was carried out for crystalline CeMg2In2 at its relaxed geometry.

extended XYZ file:
```
5
Lattice="-0.3964 -4.5317 -0.0313 2.1369 -0.2146 4.0103 -6.4435 2.8400 1.0045" Properties=species:S:1:pos:R:3 pbc="T T T"
In -4.3583 0.3651 2.3409
In -0.3447 -2.2713 2.6426
Ce 0.0000 0.0000 0.0000
Mg -1.7184 0.1262 3.5019
Mg -2.9846 -2.0324 1.4817
```

Properties
For the excess energy over the best structure of this formula in the dataset, the calculation gives 0 meV/atom. The total energy is -15.71 eV/f.u. The value obtained for the magnetic moment is 1.079 μB per cell.